1.
ZnW2Br: PBEsol geometry, SCAN.

Unit cell a=2.8927 b=2.8927 c=26.1498 alpha=90.00 beta=90.00 gamma=120.00
Closest atoms and distances in Å follow each position.
Sites, in units of the cell vectors:
Zn 0.0000 0.0000 0.0000  6 W 2.75, 6 Zn 2.89
Zn 0.3333 0.6667 0.6667  6 W 2.75, 6 Zn 2.89
Zn 0.6667 0.3333 0.3333  6 W 2.75, 6 Zn 2.89
W 0.0000 0.0000 0.2498  3 Br 2.74, 3 Zn 2.75, 6 W 2.89
W 0.0000 0.0000 0.7502  3 Br 2.74, 3 Zn 2.75, 6 W 2.89
W 0.3333 0.6667 0.4169  3 Br 2.74, 3 Zn 2.75, 6 W 2.89
W 0.3333 0.6667 0.9164  3 Br 2.74, 3 Zn 2.75, 6 W 2.89
W 0.6667 0.3333 0.0836  3 Br 2.74, 3 Zn 2.75, 6 W 2.89
W 0.6667 0.3333 0.5831  3 Br 2.74, 3 Zn 2.75, 6 W 2.89
Br 0.0000 0.0000 0.5000  6 W 2.74, 6 Br 2.89
Br 0.3333 0.6667 0.1667  6 W 2.74, 6 Br 2.89
Br 0.6667 0.3333 0.8333  6 W 2.74, 6 Br 2.89

Values from the calculation:
* M_tot: 0.000 μB per formula unit
* SG: R-3m, No. 166
* uncorrected formation energy: 3.75 eV per formula unit



2.
ZnWBr: PBEsol geometry, SCAN.

Unit cell a=4.4825 b=4.4825 c=2.8549 alpha=90.00 beta=90.00 gamma=120.00
Closest atoms and distances in Å follow each position.
Sites, in units of the cell vectors:
Zn 0.0000 0.0000 0.0000  2 Zn 2.85, 6 W 2.96, 6 Br 2.96
W 0.3333 0.6667 0.5000  3 Br 2.59, 2 W 2.85
Br 0.6667 0.3333 0.5000  3 W 2.59, 2 Br 2.85

Values from the calculation:
* M_tot: 0.000 μB per formula unit
* SG: P-6m2, No. 187
* uncorrected formation energy: 3.16 eV per formula unit



3.
ZnWBr3: PBEsol geometry, SCAN.

Unit cell a=5.0760 b=5.0760 c=5.0760 alpha=90.00 beta=90.00 gamma=90.00
Closest atoms and distances in Å follow each position.
Sites, in units of the cell vectors:
Zn 0.0000 0.0000 0.0000  12 Br 3.59
W 0.5000 0.5000 0.5000  6 Br 2.54
Br 0.0000 0.5000 0.5000  2 W 2.54
Br 0.5000 0.0000 0.5000  2 W 2.54
Br 0.5000 0.5000 0.0000  2 W 2.54

Values from the calculation:
* M_tot: 2.696 μB per formula unit
* SG: Pm-3m, No. 221
* uncorrected formation energy: 1.91 eV per formula unit



4.
Zr2WBr: PBEsol geometry, SCAN.

Unit cell a=10.2577 b=3.2283 c=4.6852 alpha=90.00 beta=95.40 gamma=90.00
Closest atoms and distances in Å follow each position.
Sites, in units of the cell vectors:
Zr 0.0000 0.0000 0.0000  1 W 2.63, 2 Br 2.80
Zr 0.2170 0.5000 0.5547  3 Br 2.76-2.88, 4 W 2.82-2.93
Zr 0.5000 0.5000 0.0000  1 W 2.63, 2 Br 2.80
Zr 0.7170 0.0000 0.5547  3 Br 2.76-2.88, 4 W 2.82-2.93
W 0.2575 0.0000 0.0483  5 Zr 2.63-2.93, 1 Br 2.78
W 0.7575 0.5000 0.0483  5 Zr 2.63-2.93, 1 Br 2.78
Br 0.4471 0.0000 0.5142  7 Zr 2.76-2.99, 1 W 2.78
Br 0.9471 0.5000 0.5142  7 Zr 2.76-2.99, 1 W 2.78

Values from the calculation:
* M_tot: 0.000 μB per formula unit
* SG: Cm, No. 8
* uncorrected formation energy: 0.44 eV per formula unit



5.
ZrW2Br: PBEsol geometry, SCAN.

Unit cell a=3.2085 b=3.2085 c=6.8538 alpha=90.00 beta=90.00 gamma=90.00
Closest atoms and distances in Å follow each position.
Sites, in units of the cell vectors:
Zr 0.0000 0.0000 0.0000  8 W 2.84
W 0.5000 0.5000 0.2498  4 Zr 2.84, 4 Br 2.84
W 0.5000 0.5000 0.7502  4 Zr 2.84, 4 Br 2.84
Br 0.0000 0.0000 0.5000  8 W 2.84

Values from the calculation:
* M_tot: 0.000 μB per formula unit
* SG: P4/mmm, No. 123
* uncorrected formation energy: 4.54 eV per formula unit



6.
ZrW2Br: PBEsol geometry, SCAN.

Unit cell a=3.7479 b=3.7479 c=5.0240 alpha=90.00 beta=90.00 gamma=90.00
Closest atoms and distances in Å follow each position.
Sites, in units of the cell vectors:
Zr 0.0000 0.0000 0.0000  4 Br 2.65
W 0.0000 0.5000 0.5000  4 W 2.65
W 0.5000 0.0000 0.5000  4 W 2.65
Br 0.5000 0.5000 0.0000  4 Zr 2.65

Values from the calculation:
* M_tot: 0.000 μB per formula unit
* SG: P4/mmm, No. 123
* uncorrected formation energy: 3.12 eV per formula unit



7.
Zr2WBr: PBEsol geometry, SCAN.

Unit cell a=7.8871 b=3.1975 c=8.4616 alpha=90.00 beta=116.23 gamma=90.00
Closest atoms and distances in Å follow each position.
Sites, in units of the cell vectors:
Zr 0.1296 0.0000 0.3128  3 W 2.64-2.75, 2 Br 2.87
Zr 0.3704 0.5000 0.6872  3 W 2.64-2.75, 2 Br 2.87
Zr 0.6296 0.5000 0.3128  3 W 2.64-2.75, 2 Br 2.87
Zr 0.8704 0.0000 0.6872  3 W 2.64-2.75, 2 Br 2.87
W 0.0000 0.5000 0.5000  6 Zr 2.64-2.75
W 0.5000 0.0000 0.5000  6 Zr 2.64-2.75
Br 0.0000 0.5000 0.0000  4 Zr 2.87, 2 Br 3.20
Br 0.5000 0.0000 0.0000  4 Zr 2.87, 2 Br 3.20

Values from the calculation:
* M_tot: 0.000 μB per formula unit
* SG: C2/m, No. 12
* uncorrected formation energy: -0.16 eV per formula unit



8.
ZrW2Br: PBEsol geometry, SCAN.

Unit cell a=3.0624 b=4.4865 c=5.3056 alpha=90.00 beta=90.00 gamma=90.00
Closest atoms and distances in Å follow each position.
Sites, in units of the cell vectors:
Zr 0.0000 0.0000 0.0000  2 Br 2.65, 8 W 2.97
W 0.5000 0.5000 0.2270  1 W 2.41
W 0.5000 0.5000 0.7730  1 W 2.41
Br 0.0000 0.0000 0.5000  2 Zr 2.65

Values from the calculation:
* M_tot: 0.000 μB per formula unit
* SG: Pmmm, No. 47
* uncorrected formation energy: 3.34 eV per formula unit



9.
YBr3: PBEsol geometry, SCAN.

Unit cell a=4.7892 b=4.7892 c=8.2784 alpha=90.00 beta=90.00 gamma=90.00
Closest atoms and distances in Å follow each position.
Sites, in units of the cell vectors:
Y 0.0000 0.0000 0.0000  12 Br 3.17-3.39
Y 0.5000 0.5000 0.5000  12 Br 3.17-3.39
Br 0.0000 0.0000 0.5000  8 Br 3.17, 4 Y 3.39
Br 0.0000 0.5000 0.2500  8 Br 3.17-3.39, 4 Y 3.17
Br 0.0000 0.5000 0.7500  8 Br 3.17-3.39, 4 Y 3.17
Br 0.5000 0.0000 0.2500  8 Br 3.17-3.39, 4 Y 3.17
Br 0.5000 0.0000 0.7500  8 Br 3.17-3.39, 4 Y 3.17
Br 0.5000 0.5000 0.0000  8 Br 3.17, 4 Y 3.39

Values from the calculation:
* M_tot: 0.000 μB per formula unit
* SG: I4/mmm, No. 139
* uncorrected formation energy: -5.80 eV per formula unit



10.
Y3Br: PBEsol geometry, SCAN.

Unit cell a=3.5822 b=3.5822 c=9.9913 alpha=90.00 beta=90.00 gamma=120.00
Closest atoms and distances in Å follow each position.
Sites, in units of the cell vectors:
Y 0.0000 0.0000 0.0000  12 Y 3.47-3.58
Y 0.3333 0.6667 0.2791  3 Br 3.02
Y 0.3333 0.6667 0.7209  3 Br 3.02
Br 0.0000 0.0000 0.5000  6 Y 3.02

Values from the calculation:
* M_tot: 1.077 μB per formula unit
* SG: P-6m2, No. 187
* uncorrected formation energy: -2.57 eV per formula unit



11.
YBr3: PBEsol geometry, SCAN.

Unit cell a=9.8944 b=9.8944 c=3.6952 alpha=90.00 beta=90.00 gamma=120.00
Closest atoms and distances in Å follow each position.
Sites, in units of the cell vectors:
Y 0.3333 0.6667 0.2500  6 Br 2.79
Y 0.6667 0.3333 0.7500  6 Br 2.79
Br 0.2112 0.4223 0.7500  2 Y 2.79
Br 0.2112 0.7888 0.7500  2 Y 2.79
Br 0.4223 0.2112 0.2500  2 Y 2.79
Br 0.5777 0.7888 0.7500  2 Y 2.79
Br 0.7888 0.2112 0.2500  2 Y 2.79
Br 0.7888 0.5777 0.2500  2 Y 2.79

Values from the calculation:
* M_tot: 0.000 μB per formula unit
* SG: P6_3/mmc, No. 194
* uncorrected formation energy: -8.09 eV per formula unit



12.
YBr3: PBEsol geometry, SCAN.

Unit cell a=3.7057 b=10.5420 c=6.6852 alpha=90.00 beta=90.00 gamma=90.00
Closest atoms and distances in Å follow each position.
Sites, in units of the cell vectors:
Y 0.0000 0.0000 0.0000  6 Br 2.79-2.80
Y 0.5000 0.5000 0.5000  6 Br 2.79-2.80
Br 0.0000 0.3285 0.6591  2 Y 2.80
Br 0.0000 0.5000 0.1889  2 Y 2.79
Br 0.0000 0.6715 0.6591  2 Y 2.80
Br 0.5000 0.0000 0.6889  2 Y 2.79
Br 0.5000 0.1715 0.1591  2 Y 2.80
Br 0.5000 0.8285 0.1591  2 Y 2.80

Values from the calculation:
* M_tot: 0.000 μB per formula unit
* SG: Imm2, No. 44
* uncorrected formation energy: -8.17 eV per formula unit



13.
YBr3: PBEsol geometry, SCAN.

Unit cell a=3.8746 b=8.9402 c=7.1727 alpha=90.00 beta=90.00 gamma=90.00
Closest atoms and distances in Å follow each position.
Sites, in units of the cell vectors:
Y 0.2500 0.2500 0.0162  8 Br 2.79-3.08
Y 0.7500 0.7500 0.9838  8 Br 2.79-3.08
Br 0.2500 0.5674 0.1821  3 Y 2.91-3.08
Br 0.2500 0.7500 0.7047  2 Y 2.79
Br 0.2500 0.9326 0.1821  3 Y 2.91-3.08
Br 0.7500 0.0674 0.8179  3 Y 2.91-3.08
Br 0.7500 0.2500 0.2953  2 Y 2.79
Br 0.7500 0.4326 0.8179  3 Y 2.91-3.08

Values from the calculation:
* M_tot: 0.000 μB per formula unit
* SG: Pmmn, No. 59
* uncorrected formation energy: -8.26 eV per formula unit